## PrPd3Au2 (PBE)

Data for a relaxed PrPd3Au2 crystal.

The structure in CIF format:
```
data_PrPd3Au2
_cell_length_a 5.9201
_cell_length_b 5.9201
_cell_length_c 22.0657
_cell_angle_alpha 90.00
_cell_angle_beta 90.00
_cell_angle_gamma 120.00
_symmetry_space_group_name_H-M 'R -3 m'
_symmetry_Int_Tables_number 166
_symmetry_space_group_name_Hall '-R 3 2"'
loop_
_atom_site_label
_atom_site_fract_x
_atom_site_fract_y
_atom_site_fract_z
Pr1 0.0000 0.0000 0.2144
Pd1 0.0121 0.5061 0.2249
Au1 0.0000 0.0000 0.0000
Au2 0.0000 0.5000 0.0000
```

Results
E_tot: -179.1 eV for the cell shown
Polymorph energy (0 for the lowest one): 63 meV per atom
Formation enthalpy at 0 K: -490.9 meV/atom
Crystal system: trigonal


## TbTa2VC4 (PBE)

Data for a relaxed TbTa2VC4 crystal.

The structure in CIF format:
```
data_TbTa2VC4
_cell_length_a 3.217
_cell_length_b 11.162
_cell_length_c 11.187
_cell_angle_alpha 90.00
_cell_angle_beta 90.00
_cell_angle_gamma 90.00
_symmetry_space_group_name_H-M 'C m c m'
_symmetry_Int_Tables_number 63
_symmetry_space_group_name_Hall '-C 2c 2'
loop_
_atom_site_label
_atom_site_fract_x
_atom_site_fract_y
_atom_site_fract_z
Tb1 0.000 0.110 0.250
Ta1 0.000 0.370 0.040
V1 0.000 0.160 0.750
C1 0.000 0.000 0.000
C2 0.000 0.262 0.614
C3 0.000 0.439 0.250
```

Results
E_tot: -309.8 eV for the cell shown
Formation enthalpy at 0 K: -387.8 meV/atom
Crystal system: orthorhombic


## TiRe2Ru2 (PBE)

Data for a relaxed TiRe2Ru2 crystal.

The structure in CIF format:
```
data_TiRe2Ru2
_cell_length_a 7.508
_cell_length_b 7.508
_cell_length_c 2.751
_cell_angle_alpha 90.00
_cell_angle_beta 90.00
_cell_angle_gamma 90.00
_symmetry_space_group_name_H-M 'P 4/m b m'
_symmetry_Int_Tables_number 127
_symmetry_space_group_name_Hall '-P 4 2ab'
loop_
_atom_site_label
_atom_site_fract_x
_atom_site_fract_y
_atom_site_fract_z
Ti1 0.000 0.000 0.000
Re1 0.171 0.329 0.500
Ru1 0.125 0.625 0.000
```

Results
E_tot: -102.3 eV for the cell shown
Formation enthalpy at 0 K: 37.5 meV/atom
Crystal system: tetragonal


## LaGe2Ru (PBE)

Data for a relaxed LaGe2Ru crystal.

The structure in CIF format:
```
data_LaGe2Ru
_cell_length_a 4.319
_cell_length_b 18.238
_cell_length_c 4.256
_cell_angle_alpha 90.00
_cell_angle_beta 90.00
_cell_angle_gamma 90.00
_symmetry_space_group_name_H-M 'C m m m'
_symmetry_Int_Tables_number 65
_symmetry_space_group_name_Hall '-C 2 2'
loop_
_atom_site_label
_atom_site_fract_x
_atom_site_fract_y
_atom_site_fract_z
La1 0.000 0.146 0.000
Ge1 0.000 0.000 0.500
Ge2 0.000 0.291 0.500
Ge3 0.000 0.500 0.000
Ru1 0.000 0.425 0.500
```

Results
E_tot: -103.7 eV for the cell shown
Formation enthalpy at 0 K: -623.5 meV/atom
Crystal system: orthorhombic


Fermi-level density of states across the listed records, respectively: 1.269; 3.535; 2.919; 2.323 states/eV/f.u..